No. 1
First-principles (GGA-PBE) data for crystalline CdIn2Os at its relaxed geometry, as listed in Alexandria via LeMat-Bulk.

Cell lengths 3.008, 5.182, 11.050 Å; angles 90.00, 90.00, 90.00 degrees
Space group Cmmm (No. 65)
Symmetry-distinct sites (fractional):
Cd1 0.000 0.000 0.000
In1 0.000 0.500 0.287
Os1 0.000 0.000 0.500

Properties
Its energy relative to the elements is 2.0 eV/f.u.

---

No. 2
First-principles (GGA-PBE) data for crystalline CdIn2Os at its relaxed geometry, as listed in Alexandria via LeMat-Bulk.

Cell lengths 3.693, 3.693, 5.830 Å; angles 90.00, 90.00, 90.00 degrees
Space group P4mm (No. 99)
Symmetry-distinct sites (fractional):
Cd1 0.000 0.000 0.000
In1 0.000 0.000 0.529
In2 0.500 0.500 0.244
Os1 0.500 0.500 0.741

Properties
Its energy relative to the elements is 1.7 eV/f.u.

---

No. 3
First-principles (GGA-PBE) data for crystalline CdIn2Os at its relaxed geometry, as listed in Alexandria via LeMat-Bulk.

Cell lengths 9.532, 3.381, 5.115 Å; angles 90.00, 103.87, 90.00 degrees
Space group C2/m (No. 12)
Symmetry-distinct sites (fractional):
Cd1 0.000 0.000 0.000
In1 0.236 0.000 0.723
Os1 0.000 0.500 0.500

Properties
Its energy relative to the elements is 1.8 eV/f.u.

---

No. 4
First-principles (GGA-PBE) data for crystalline CdIn2Os at its relaxed geometry, as listed in Alexandria via LeMat-Bulk.

Cell lengths 4.356, 4.356, 4.079 Å; angles 90.00, 90.00, 90.00 degrees
Space group P4/mmm (No. 123)
Symmetry-distinct sites (fractional):
Cd1 0.000 0.000 0.000
In1 0.000 0.500 0.500
Os1 0.500 0.500 0.000

Properties
Its energy relative to the elements is 2.0 eV/f.u.